# 1
ScBrCl (PBE, relaxed); space group = Fmm2 (42); V = 31.87 Å³/atom; total magnetization = 0.63 μB per formula unit; E = -4.75 eV per atom; crystal system = orthorhombic
1.0
0.000 3.530 7.506
1.804 0.000 7.506
1.804 3.530 0.000
Sc Br Cl
1 1 1
Cartesian
0.000 0.000 0.000
1.804 3.530 9.439
1.804 3.530 5.766

***

# 2
CaCuIr2 (PBE, relaxed); space group = P4/mmm (123); DFT formation energy = 0.12 eV/atom; V = 16.21 Å³/atom; total magnetization = 0.00 μB per formula unit; E = -5.83 eV per atom; crystal system = tetragonal
1.0
3.931 0.000 0.000
0.000 3.931 0.000
0.000 0.000 4.197
Ca Cu Ir
1 1 2
Cartesian
0.000 0.000 0.000
1.965 1.965 0.000
0.000 1.965 2.098
1.965 0.000 2.098

***

# 3
K4Cu3Cl12 (PBE, relaxed); space group = Im-3 (204); V = 34.02 Å³/atom; total magnetization = 1.18 μB per formula unit; E = -3.09 eV per atom; crystal system = cubic
1.0
-5.447 5.447 5.447
5.447 -5.447 5.447
5.447 5.447 -5.447
K Cu Cl
4 3 12
Cartesian
2.723 2.723 -2.723
2.723 -2.723 2.723
-2.723 2.723 2.723
2.723 2.723 2.723
5.447 0.000 0.000
0.000 5.447 0.000
0.000 0.000 5.447
3.876 0.000 1.562
7.017 0.000 1.562
5.447 3.885 -1.570
1.562 3.876 0.000
3.885 -1.570 5.447
0.000 1.562 3.876
5.447 3.885 1.570
1.562 7.017 0.000
3.885 1.570 5.447
0.000 1.562 7.017
-1.570 5.447 3.885
1.570 5.447 3.885

***

Which of these has the highest E? K4Cu3Cl12